No. 1
Entry from Alexandria via LeMat-Bulk: a relaxed DySnPdAu crystal (GGA-PBE).

Summary:
- N(E_F) (states/eV/cell) = 2.66
- space group = F-43m, No. 216
- total moment (μB per cell) = 0.0
- formation enthalpy at 0 K (meV/atom) = -762

Cell lengths 4.881, 4.881, 4.881 Å; angles 60.00, 60.00, 60.00 degrees
Atoms (fractional coordinates):
Dy 0.000 0.000 0.000
Sn 0.500 0.500 0.500
Pd 0.750 0.750 0.750
Au 0.250 0.250 0.250

No. 2
Entry from Alexandria via LeMat-Bulk: a relaxed Sc2CoNi crystal (GGA-PBE).

Summary:
- N(E_F) (states/eV/cell) = 3.07
- space group = R-3m, No. 166
- total moment (μB per cell) = 0.8
- formation enthalpy at 0 K (meV/atom) = 259

Cell lengths 8.700, 8.700, 8.700 Å; angles 20.19, 20.19, 20.19 degrees
Atoms (fractional coordinates):
Sc 0.090 0.090 0.090
Sc 0.910 0.910 0.910
Co 0.000 0.000 0.000
Ni 0.500 0.500 0.500